Record 1
Below is an optimized crystal structure of Pr2GeAsPt6, with properties calculated at the PBE-GGA level.

Properties
Its formation energy is -0.86 eV/atom.

Cell: 5.5834 8.6567 8.5058 Å, 90.00 90.00 90.00°
With the nearest neighbours (Å) after each atom.
Element x y z (fractional)
Pr (0.5000, 0.7316, 0.2479)  9 Pt 3.10-3.37
Pr (0.0000, 0.2684, 0.7479)  9 Pt 3.10-3.37
Pr (0.5000, 0.7316, 0.7521)  9 Pt 3.10-3.37
Pr (0.0000, 0.2684, 0.2521)  9 Pt 3.10-3.37
Ge (0.5000, 0.2653, 0.5000)  6 Pt 2.46-2.61
Ge (0.0000, 0.7347, 0.0000)  6 Pt 2.46-2.61
As (0.0000, 0.7329, 0.5000)  4 Pt 2.46-2.48
As (0.5000, 0.2671, 0.0000)  4 Pt 2.46-2.48
Pt (0.5000, 0.1139, 0.2459)  1 As 2.48, 1 Ge 2.53, 4 Pt 2.73
Pt (0.5000, 0.1139, 0.7541)  1 As 2.48, 1 Ge 2.53, 4 Pt 2.73
Pt (0.0000, 0.8861, 0.2541)  1 As 2.48, 1 Ge 2.53, 4 Pt 2.73
Pt (0.0000, 0.8861, 0.7459)  1 As 2.48, 1 Ge 2.53, 4 Pt 2.73
Pt (0.2489, 0.0112, 0.5000)  1 Ge 2.61, 6 Pt 2.73-2.80, 1 As 2.78
Pt (0.7511, 0.0112, 0.5000)  1 Ge 2.61, 6 Pt 2.73-2.80, 1 As 2.78
Pt (0.2510, 0.4993, 0.5000)  1 Ge 2.46, 1 As 2.46
Pt (0.7490, 0.4993, 0.5000)  1 Ge 2.46, 1 As 2.46
Pt (0.7510, 0.5007, 0.0000)  1 Ge 2.46, 1 As 2.46
Pt (0.2490, 0.5007, 0.0000)  1 Ge 2.46, 1 As 2.46
Pt (0.2511, 0.9888, 0.0000)  1 Ge 2.61, 6 Pt 2.73-2.80, 1 As 2.78
Pt (0.7489, 0.9888, 0.0000)  1 Ge 2.61, 6 Pt 2.73-2.80, 1 As 2.78



Record 2
Below is an optimized crystal structure of NaMoPtRh2, with properties calculated at the PBE-GGA level.

Properties
Its formation energy is 1.68 eV/atom.

Cell: 4.4070 4.4070 4.4905 Å, 90.00 90.00 90.00°
With the nearest neighbours (Å) after each atom.
Element x y z (fractional)
Na (0.0000, 0.0000, 0.0000)  4 Rh 2.20, 2 Pt 2.25
Mo (0.5000, 0.5000, 0.5000)  4 Pt 3.12, 8 Rh 3.15
Rh (0.0000, 0.5000, 0.0000)  2 Na 2.20
Rh (0.5000, 0.0000, 0.0000)  2 Na 2.20
Pt (0.0000, 0.0000, 0.5000)  2 Na 2.25



Record 3
Below is an optimized crystal structure of NaBiI3, with properties calculated at the PBE-GGA level.

Properties
The formation energy from raw total energies comes out at -2.4 eV per formula unit. As for the relative energy among the computed polymorphs: 0.72 eV per formula unit.

Cell: 6.2854 6.2854 6.2854 Å, 90.00 90.00 90.00°
With the nearest neighbours (Å) after each atom.
Element x y z (fractional)
I (0.0000, 0.5000, 0.0000)  2 Bi 3.14
I (0.0000, 0.0000, 0.5000)  2 Bi 3.14
I (0.5000, 0.0000, 0.0000)  2 Bi 3.14
Na (0.5000, 0.5000, 0.5000)  12 I 4.44
Bi (0.0000, 0.0000, 0.0000)  6 I 3.14



Record 4
Below is an optimized crystal structure of RbCdI2Br, with properties calculated at the PBE-GGA level.

Properties
The formation energy from raw total energies comes out at -4.9 eV per formula unit. As for the relative energy among the computed polymorphs: 0.30 eV per formula unit.

Cell: 6.0091 6.0091 5.5856 Å, 90.00 90.00 90.00°
With the nearest neighbours (Å) after each atom.
Element x y z (fractional)
I (0.0000, 0.5000, 0.0000)  2 Cd 3.00
I (0.5000, 0.0000, 0.0000)  2 Cd 3.00
Br (0.0000, 0.0000, 0.5000)  2 Cd 2.79
Rb (0.5000, 0.5000, 0.5000)  8 I 4.10, 4 Br 4.25
Cd (0.0000, 0.0000, 0.0000)  2 Br 2.79, 4 I 3.00



Record 5
Below is an optimized crystal structure of Nd3Al7Ir4, with properties calculated at the PBE-GGA level.

Properties
Its formation energy is -0.78 eV/atom.

Cell: 4.2951 8.1678 8.4475 Å, 70.89 75.27 74.76°
With the nearest neighbours (Å) after each atom.
Element x y z (fractional)
Nd (0.3084, 0.1851, 0.1982)  10 Al 3.08-3.28, 4 Ir 3.09-3.14
Nd (0.6916, 0.8149, 0.8018)  10 Al 3.08-3.28, 4 Ir 3.09-3.14
Nd (0.0000, 0.5000, 0.5000)  6 Ir 2.98-3.24, 2 Al 3.31
Al (0.3153, 0.8450, 0.5243)  4 Ir 2.62-2.73, 1 Al 2.74
Al (0.4957, 0.2202, 0.7885)  3 Ir 2.50-2.61, 1 Al 2.74
Al (0.8416, 0.3952, 0.9216)  3 Ir 2.54-2.60
Al (0.6847, 0.1550, 0.4757)  4 Ir 2.62-2.73, 1 Al 2.74
Al (0.1584, 0.6048, 0.0784)  3 Ir 2.54-2.60
Al (0.0000, 0.0000, 0.0000)  2 Ir 2.62
Al (0.5043, 0.7798, 0.2115)  3 Ir 2.50-2.61, 1 Al 2.74
Ir (0.6615, 0.4607, 0.2163)  5 Al 2.50-2.73
Ir (0.3385, 0.5393, 0.7837)  5 Al 2.50-2.73
Ir (0.8896, 0.8877, 0.3332)  6 Al 2.61-2.68
Ir (0.1104, 0.1123, 0.6668)  6 Al 2.61-2.68



Record 6
Below is an optimized crystal structure of GdPPd3, with properties calculated at the PBE-GGA level.

Properties
Its formation energy is -0.70 eV/atom.

Cell: 4.5929 4.5929 4.5929 Å, 90.00 90.00 90.00°
With the nearest neighbours (Å) after each atom.
Element x y z (fractional)
P (0.0000, 0.0000, 0.0000)  6 Pd 2.30
Gd (0.5000, 0.5000, 0.5000)  12 Pd 3.25
Pd (0.0000, 0.5000, 0.0000)  2 P 2.30
Pd (0.0000, 0.0000, 0.5000)  2 P 2.30
Pd (0.5000, 0.0000, 0.0000)  2 P 2.30



Record 7
Below is an optimized crystal structure of Mg2Ga2Cu, with properties calculated at the PBE-GGA level.

Properties
Its formation energy is 0.11 eV/atom. As for the relative energy among the computed polymorphs: 1.37 eV per formula unit.

Cell: 6.8847 6.8847 4.0709 Å, 90.00 90.00 90.00°
With the nearest neighbours (Å) after each atom.
Element x y z (fractional)
Mg (0.3448, 0.8448, 0.0000)  2 Cu 2.60, 2 Ga 2.78
Mg (0.8448, 0.6552, 0.0000)  2 Cu 2.60, 2 Ga 2.78
Mg (0.6552, 0.1552, 0.0000)  2 Cu 2.60, 2 Ga 2.78
Mg (0.1552, 0.3448, 0.0000)  2 Cu 2.60, 2 Ga 2.78
Cu (0.0000, 0.0000, 0.0000)  4 Mg 2.60
Cu (0.5000, 0.5000, 0.0000)  4 Mg 2.60
Ga (0.1498, 0.6498, 0.5000)  6 Mg 2.78-2.92, 1 Ga 2.92
Ga (0.6498, 0.8502, 0.5000)  6 Mg 2.78-2.92, 1 Ga 2.92
Ga (0.8502, 0.3502, 0.5000)  6 Mg 2.78-2.92, 1 Ga 2.92
Ga (0.3502, 0.1498, 0.5000)  6 Mg 2.78-2.92, 1 Ga 2.92



Record 8
Below is an optimized crystal structure of SiGeP2, with properties calculated at the PBE-GGA level.

Properties
The formation energy from raw total energies comes out at 2.1 eV per formula unit. As for the relative energy among the computed polymorphs: 1.97 eV per formula unit.

Cell: 4.4541 4.4541 4.4541 Å, 60.00 60.00 60.00°
With the nearest neighbours (Å) after each atom.
Element x y z (fractional)
P (0.2500, 0.2500, 0.2500)  4 Ge 2.73, 4 Si 2.73
P (0.7500, 0.7500, 0.7500)  4 Ge 2.73, 4 Si 2.73
Ge (0.5000, 0.5000, 0.5000)  8 P 2.73
Si (0.0000, 0.0000, 0.0000)  8 P 2.73



Record 9
Below is an optimized crystal structure of DyZrScAl, with properties calculated at the PBE-GGA level.

Properties
Its formation energy is -0.08 eV/atom.

Cell: 5.0604 5.0604 5.0604 Å, 60.00 60.00 60.00°
With the nearest neighbours (Å) after each atom.
Element x y z (fractional)
Sc (0.0000, 0.0000, 0.0000)  4 Zr 3.10, 4 Dy 3.10
Al (0.5000, 0.5000, 0.5000)  4 Zr 3.10, 4 Dy 3.10
Zr (0.7500, 0.7500, 0.7500)  4 Al 3.10, 4 Sc 3.10
Dy (0.2500, 0.2500, 0.2500)  4 Al 3.10, 4 Sc 3.10



Record 10
Below is an optimized crystal structure of K2LiIn4Sn3, with properties calculated at the PBE-GGA level.

Properties
Its formation energy is -0.16 eV/atom.

Cell: 4.9992 4.9992 12.5313 Å, 90.00 90.00 90.00°
With the nearest neighbours (Å) after each atom.
Element x y z (fractional)
K (0.5000, 0.0000, 0.2472)  6 Sn 3.80-4.04, 8 In 3.85-3.98, 2 Li 4.04
K (0.0000, 0.5000, 0.7528)  6 Sn 3.80-4.04, 8 In 3.85-3.98, 2 Li 4.04
Li (0.5000, 0.5000, 0.5000)  4 In 3.00
In (0.5000, 0.5000, 0.0000)  4 Sn 3.02
In (0.0000, 0.0000, 0.0000)  4 Sn 3.02
In (0.5000, 0.0000, 0.6319)  3 Sn 2.92-3.00, 2 Li 3.00
In (0.0000, 0.5000, 0.3681)  3 Sn 2.92-3.00, 2 Li 3.00
Sn (0.0000, 0.0000, 0.5000)  4 In 3.00
Sn (0.5000, 0.0000, 0.8649)  5 In 2.92-3.02
Sn (0.0000, 0.5000, 0.1351)  5 In 2.92-3.02



Record 11
Below is an optimized crystal structure of CrTcIr2, with properties calculated at the PBE-GGA level.

Properties
Its formation energy is -0.01 eV/atom. As for the relative energy among the computed polymorphs: 1.01 eV per formula unit.

Cell: 8.9253 8.9253 8.9253 Å, 17.49 17.49 17.49°
With the nearest neighbours (Å) after each atom.
Element x y z (fractional)
Cr (0.7484, 0.7484, 0.7484)  3 Ir 2.56, 3 Tc 2.71, 6 Cr 2.71
Ir (0.0048, 0.0048, 0.0048)  3 Cr 2.56, 9 Ir 2.71-2.84
Ir (0.2481, 0.2481, 0.2481)  3 Tc 2.69, 9 Ir 2.71-2.84
Tc (0.4987, 0.4987, 0.4987)  3 Ir 2.69, 3 Cr 2.71, 6 Tc 2.71